Crystalline CsCoN2F at its relaxed geometry. Source: Alexandria via LeMat-Bulk, functional PBE with a Hubbard U.

Fermi-level density of states: 1.98 states/eV/cell
Space-group type: No. 123
DFT total energy: -4.6109 eV/atom

a = 3.6422 Å, b = 3.6422 Å, c = 7.0361 Å
α = 90.00°, β = 90.00°, γ = 90.00°
Site moments in Bohr magnetons follow the coordinates.
Element x y z (fractional)
F 0.0000 0.0000 0.5000  0.00
Co 0.0000 0.0000 0.0000  0.95
Cs 0.5000 0.5000 0.5000  0.00
N 0.5000 0.0000 0.0000  -0.21
N 0.0000 0.5000 0.0000  -0.21